[1]
An optimized crystal structure of CaRhF. Source: Alexandria via LeMat-Bulk, functional PBE.

Summary:
Polymorph energy (0 for the lowest one) ... 86 meV/atom
Energy relative to the elements, uncorrected ... -1.8327 eV/atom
E ... -5.574 eV/atom

abc: 3.494 3.191 8.727
angles: 90.00 90.19 90.00
Space group P2_1/m (No. 11)
Symmetry-distinct sites (fractional):
Ca 0.249 0.250 0.309
Rh 0.248 0.250 0.948
F 0.252 0.250 0.586



[2]
An optimized crystal structure of La3ZrBr. Source: Alexandria via LeMat-Bulk, functional PBE.

Summary:
Polymorph energy (0 for the lowest one) ... 229 meV/atom
Energy relative to the elements, uncorrected ... 0.1958 eV/atom
E ... -4.805 eV/atom

abc: 5.819 5.819 5.819
angles: 90.00 90.00 90.00
Space group Pm-3m (No. 221)
Symmetry-distinct sites (fractional):
La 0.000 0.000 0.500
Zr 0.000 0.000 0.000
Br 0.500 0.500 0.500



[3]
An optimized crystal structure of Dy6CoSe5. Source: Alexandria via LeMat-Bulk, functional PBE.

Summary:
Energy relative to the elements, uncorrected ... -1.5277 eV/atom
E ... -5.873 eV/atom

abc: 7.105 12.282 7.067
angles: 90.00 109.68 90.00
Space group C2/m (No. 12)
Symmetry-distinct sites (fractional):
Dy 0.226 0.000 0.265
Dy 0.228 0.152 0.730
Co 0.000 0.000 0.500
Se 0.000 0.178 0.000
Se 0.000 0.335 0.500
Se 0.000 0.500 0.000



[4]
An optimized crystal structure of HoMgZnCd. Source: Alexandria via LeMat-Bulk, functional PBE.

Summary:
Formation enthalpy at 0 K ... -293.8 meV per atom
E ... -2.384 eV/atom

abc: 7.012 7.012 7.012
angles: 90.00 90.00 90.00
Space group F-43m (No. 216)
Symmetry-distinct sites (fractional):
Ho 0.000 0.000 0.000
Mg 0.000 0.000 0.500
Zn 0.250 0.250 0.750
Cd 0.250 0.250 0.250



[5]
An optimized crystal structure of KRb2. Source: Alexandria via LeMat-Bulk, functional PBE.

Summary:
Polymorph energy (0 for the lowest one) ... 0 meV/atom
Formation enthalpy at 0 K ... 4.7 meV per atom
E ... -1.006 eV/atom

abc: 5.298 5.298 18.001
angles: 90.00 90.00 90.00
Space group I4/mmm (No. 139)
Symmetry-distinct sites (fractional):
K 0.000 0.000 0.000
Rb 0.000 0.000 0.340



[6]
An optimized crystal structure of ZnH2I4. Source: Alexandria via LeMat-Bulk, functional PBE.

Summary:
E ... -2.237 eV/atom

abc: 8.946 9.130 7.110
angles: 90.00 119.25 90.00
Space group Cm (No. 8)
Symmetry-distinct sites (fractional):
Zn 0.000 0.000 0.000
H 0.349 0.161 0.910
I 0.333 0.000 0.143
I 0.367 0.268 0.721
I 0.390 0.500 0.267



[7]
An optimized crystal structure of Ca2ReSe. Source: Alexandria via LeMat-Bulk, functional PBE.

Summary:
Energy relative to the elements, uncorrected ... 0.4661 eV/atom
E ... -4.518 eV/atom

abc: 7.038 7.038 7.038
angles: 90.00 90.00 90.00
Space group F-43m (No. 216)
Symmetry-distinct sites (fractional):
Ca 0.000 0.000 0.000
Ca 0.250 0.250 0.250
Re 0.250 0.250 0.750
Se 0.000 0.000 0.500



[8]
An optimized crystal structure of BaZn4Ni. Source: Alexandria via LeMat-Bulk, functional PBE.

Summary:
Polymorph energy (0 for the lowest one) ... 201 meV/atom
Formation enthalpy at 0 K ... 64.5 meV per atom
E ... -2.069 eV/atom

abc: 7.715 7.715 7.715
angles: 90.00 90.00 90.00
Space group F-43m (No. 216)
Symmetry-distinct sites (fractional):
Ba 0.000 0.000 0.000
Zn 0.122 0.122 0.378
Ni 0.250 0.250 0.750



[9]
An optimized crystal structure of Li4SO5. Source: Alexandria via LeMat-Bulk, functional PBE.

Summary:
Energy relative to the elements, uncorrected ... -1.6934 eV/atom
E ... -5.351 eV/atom

abc: 6.198 6.198 4.515
angles: 90.00 90.00 90.00
Space group I4 (No. 79)
Symmetry-distinct sites (fractional):
Li 0.104 0.295 0.000
S 0.000 0.000 0.478
O 0.000 0.000 0.133
O 0.075 0.250 0.550



[10]
An optimized crystal structure of Li3PuTe3. Source: Alexandria via LeMat-Bulk, functional PBE.

Summary:
Energy relative to the elements, uncorrected ... -1.0013 eV/atom
E ... -5.215 eV/atom

abc: 7.9505 7.9505 21.8344
angles: 90.00 90.00 120.00
Space group R-3 (No. 148, hexagonal axes)
Symmetry-distinct sites (fractional):
Li 0.0059 0.6902 0.1213
Pu 0.0000 0.0000 0.3342
Te 0.0034 0.6478 0.9180



[11]
An optimized crystal structure of Mn3AlSb. Source: Alexandria via LeMat-Bulk, functional PBE.

Summary:
Polymorph energy (0 for the lowest one) ... 0 meV/atom
Energy relative to the elements, uncorrected ... 0.7162 eV/atom
E ... -6.359 eV/atom

abc: 4.612 4.612 4.612
angles: 90.00 90.00 90.00
Space group Pm-3m (No. 221)
Symmetry-distinct sites (fractional):
Mn 0.000 0.000 0.500
Al 0.000 0.000 0.000
Sb 0.500 0.500 0.500



[12]
An optimized crystal structure of CePa3Ir4. Source: Alexandria via LeMat-Bulk, functional PBE.

Summary:
Formation enthalpy at 0 K ... -643.4 meV per atom
E ... -9.377 eV/atom

abc: 9.861 9.924 3.461
angles: 90.00 90.22 90.00
Space group C2/m (No. 12)
Symmetry-distinct sites (fractional):
Ce 0.000 0.000 0.000
Pa 0.000 0.500 0.000
Pa 0.250 0.250 0.000
Ir 0.000 0.269 0.500
Ir 0.231 0.500 0.499



[13]
An optimized crystal structure of AlCuHIr2. Source: Alexandria via LeMat-Bulk, functional PBE.

Summary:
Polymorph energy (0 for the lowest one) ... 0 meV/atom
E ... -5.993 eV/atom

abc: 3.998 3.998 3.596
angles: 90.00 90.00 90.00
Space group P4/mmm (No. 123)
Symmetry-distinct sites (fractional):
Al 0.000 0.000 0.000
Cu 0.500 0.500 0.000
H 0.500 0.500 0.500
Ir 0.000 0.500 0.500



[14]
An optimized crystal structure of GdDyHgGe. Source: Alexandria via LeMat-Bulk, functional PBE.

Summary:
Formation enthalpy at 0 K ... -566.6 meV per atom
E ... -6.467 eV/atom

abc: 7.328 7.328 7.328
angles: 90.00 90.00 90.00
Space group F-43m (No. 216)
Symmetry-distinct sites (fractional):
Gd 0.000 0.000 0.000
Dy 0.000 0.000 0.500
Hg 0.250 0.250 0.250
Ge 0.250 0.250 0.750



[15]
An optimized crystal structure of NaCeAg2. Source: Alexandria via LeMat-Bulk, functional PBE.

Summary:
Polymorph energy (0 for the lowest one) ... 8 meV/atom
Formation enthalpy at 0 K ... 0.3 meV per atom
E ... -3.239 eV/atom

abc: 5.505 5.505 3.192
angles: 90.00 90.00 90.00
Space group P4/mmm (No. 123)
Symmetry-distinct sites (fractional):
Na 0.000 0.000 0.000
Ce 0.500 0.500 0.000
Ag 0.000 0.500 0.500



[16]
An optimized crystal structure of ScAs3W. Source: Alexandria via LeMat-Bulk, functional PBE.

Summary:
Polymorph energy (0 for the lowest one) ... 0 meV/atom
Formation enthalpy at 0 K ... 316.2 meV per atom
E ... -6.330 eV/atom

abc: 4.893 4.893 4.893
angles: 90.00 90.00 90.00
Space group Pm-3m (No. 221)
Symmetry-distinct sites (fractional):
Sc 0.000 0.000 0.000
As 0.000 0.500 0.500
W 0.500 0.500 0.500



[17]
An optimized crystal structure of CsNaSr2Zn. Source: Alexandria via LeMat-Bulk, functional PBE.

Summary:
Polymorph energy (0 for the lowest one) ... 31 meV/atom
Formation enthalpy at 0 K ... 110.4 meV per atom
E ... -1.252 eV/atom

abc: 6.320 6.320 7.004
angles: 90.00 90.00 90.00
Space group P4/mmm (No. 123)
Symmetry-distinct sites (fractional):
Cs 0.000 0.000 0.000
Na 0.500 0.500 0.000
Sr 0.000 0.500 0.500
Zn 0.000 0.000 0.500



[18]
An optimized crystal structure of CsTeP2Cl. Source: Alexandria via LeMat-Bulk, functional PBE.

Summary:
Energy relative to the elements, uncorrected ... 0.1041 eV/atom
E ... -3.228 eV/atom

abc: 5.070 5.070 6.452
angles: 90.00 90.00 90.00
Space group P4/mmm (No. 123)
Symmetry-distinct sites (fractional):
Cs 0.000 0.000 0.000
Te 0.500 0.500 0.500
P 0.000 0.500 0.500
Cl 0.500 0.500 0.000



[19]
An optimized crystal structure of La4Dy3UP8. Source: Alexandria via LeMat-Bulk, functional PBE.

Summary:
Formation enthalpy at 0 K ... -1498.3 meV per atom
E ... -7.003 eV/atom

abc: 8.2401 8.2401 20.2663
angles: 90.00 90.00 120.00
Space group R-3m (No. 166, hexagonal axes)
Symmetry-distinct sites (fractional):
La 0.0000 0.0000 0.0000
La 0.0000 0.5000 0.0000
Dy 0.0000 0.5000 0.5000
U 0.0000 0.0000 0.5000
P 0.0000 0.0000 0.2454
P 0.0058 0.5029 0.2435



[20]
An optimized crystal structure of CrCo2Os. Source: Alexandria via LeMat-Bulk, functional PBE.

Summary:
Polymorph energy (0 for the lowest one) ... 293 meV/atom
Formation enthalpy at 0 K ... 304.5 meV per atom
E ... -8.462 eV/atom

abc: 2.833 4.257 8.237
angles: 90.00 90.00 90.00
Space group Cmm2 (No. 35)
Symmetry-distinct sites (fractional):
Cr 0.000 0.000 0.000
Co 0.000 0.000 0.522
Co 0.000 0.500 0.759
Os 0.000 0.500 0.255